Compound: TiSb2TeN
Source: Alexandria
Functional: PBE-GGA
Structure: relaxed

* formation energy without anion corrections: 5.2 eV/f.u.
* energy: -4.484 eV per atom
* DOS at the Fermi energy: 3.3 states/eV/f.u.
* ΔE to the lowest computed polymorph: 508 meV per atom

abc: 5.2622 5.2622 5.2814
angles: 90.00 90.00 90.00
Last column: nearest neighbours and their distance in Å.
Sites, in units of the cell vectors:
Ti (0.0000, 0.0000, 0.0000)  4 Sb 2.63, 2 Te 2.64
Sb (0.0000, 0.5000, 0.0000)  2 Ti 2.63
Sb (0.5000, 0.0000, 0.0000)  2 Ti 2.63
Te (0.0000, 0.0000, 0.5000)  2 Ti 2.64
N (0.5000, 0.5000, 0.5000)  4 Te 3.72, 8 Sb 3.73

***

Compound: TiSbTeN2
Source: Alexandria
Functional: PBE-GGA
Structure: relaxed

* formation energy without anion corrections: 6.0 eV/f.u.
* energy: -5.159 eV per atom
* DOS at the Fermi energy: 5.6 states/eV/f.u.
* ΔE to the lowest computed polymorph: 708 meV per atom

abc: 4.0269 4.0269 6.1036
angles: 90.00 90.00 90.00
Last column: nearest neighbours and their distance in Å.
Sites, in units of the cell vectors:
Ti (0.0000, 0.0000, 0.0000)  4 Te 2.85
Sb (0.5000, 0.5000, 0.5000)  4 N 2.01
Te (0.5000, 0.5000, 0.0000)  4 Ti 2.85, 2 Sb 3.05
N (0.0000, 0.5000, 0.5000)  2 Sb 2.01
N (0.5000, 0.0000, 0.5000)  2 Sb 2.01

***

Compound: TiSbTeN2
Source: Alexandria
Functional: PBE-GGA
Structure: relaxed

* formation energy without anion corrections: 2.5 eV/f.u.
* energy: -5.867 eV per atom
* DOS at the Fermi energy: 3.3 states/eV/f.u.
* ΔE to the lowest computed polymorph: 0 meV per atom

abc: 4.0841 4.0841 5.6028
angles: 90.00 90.00 90.00
Last column: nearest neighbours and their distance in Å.
Sites, in units of the cell vectors:
Ti (0.0000, 0.0000, 0.0000)  4 N 2.04
Sb (0.5000, 0.5000, 0.5000)  4 Te 2.89
Te (0.0000, 0.0000, 0.5000)  2 Ti 2.80, 4 Sb 2.89
N (0.0000, 0.5000, 0.0000)  2 Ti 2.04
N (0.5000, 0.0000, 0.0000)  2 Ti 2.04

***

Compound: TiSb2TeN
Source: Alexandria
Functional: PBE-GGA
Structure: relaxed

* formation energy without anion corrections: 2.6 eV/f.u.
* energy: -4.992 eV per atom
* DOS at the Fermi energy: 3.8 states/eV/f.u.
* ΔE to the lowest computed polymorph: 0 meV per atom

abc: 4.7098 4.7098 4.6226
angles: 90.00 90.00 90.00
Last column: nearest neighbours and their distance in Å.
Sites, in units of the cell vectors:
Ti (0.0000, 0.0000, 0.0000)  8 Sb 3.30, 4 Te 3.33
Sb (0.0000, 0.5000, 0.5000)  2 N 2.35
Sb (0.5000, 0.0000, 0.5000)  2 N 2.35
Te (0.5000, 0.5000, 0.0000)  2 N 2.31
N (0.5000, 0.5000, 0.5000)  2 Te 2.31, 4 Sb 2.35

***

Compound: TlSbTe2N
Source: Alexandria
Functional: PBE-GGA
Structure: relaxed

* formation energy without anion corrections: 5.5 eV/f.u.
* energy: -3.111 eV per atom
* DOS at the Fermi energy: 3.9 states/eV/f.u.
* ΔE to the lowest computed polymorph: 526 meV per atom

abc: 5.8985 5.8985 4.2426
angles: 90.00 90.00 90.00
Last column: nearest neighbours and their distance in Å.
Sites, in units of the cell vectors:
Tl (0.0000, 0.0000, 0.0000)  2 N 2.12
Sb (0.5000, 0.5000, 0.5000)  8 Te 3.63
Te (0.0000, 0.5000, 0.0000)  2 Tl 2.95
Te (0.5000, 0.0000, 0.0000)  2 Tl 2.95
N (0.0000, 0.0000, 0.5000)  2 Tl 2.12

***

Compound: TlSbTe2N
Source: Alexandria
Functional: PBE-GGA
Structure: relaxed

* formation energy without anion corrections: 10.3 eV/f.u.
* energy: -2.159 eV per atom
* DOS at the Fermi energy: 12.9 states/eV/f.u.
* ΔE to the lowest computed polymorph: 1478 meV per atom

abc: 5.7055 5.7055 5.7662
angles: 90.00 90.00 90.00
Last column: nearest neighbours and their distance in Å.
Sites, in units of the cell vectors:
Tl (0.0000, 0.0000, 0.0000)  4 Te 2.85, 2 Sb 2.88
Sb (0.0000, 0.0000, 0.5000)  2 Tl 2.88
Te (0.0000, 0.5000, 0.0000)  2 Tl 2.85
Te (0.5000, 0.0000, 0.0000)  2 Tl 2.85
N (0.5000, 0.5000, 0.5000)  4 Sb 4.03, 8 Te 4.06

***

Compound: TlSb2TeN
Source: Alexandria
Functional: PBE-GGA
Structure: relaxed

* formation energy without anion corrections: 10.6 eV/f.u.
* energy: -2.300 eV per atom
* DOS at the Fermi energy: 10.8 states/eV/f.u.
* ΔE to the lowest computed polymorph: 1538 meV per atom

abc: 5.7064 5.7064 5.6773
angles: 90.00 90.00 90.00
Last column: nearest neighbours and their distance in Å.
Sites, in units of the cell vectors:
Tl (0.0000, 0.0000, 0.0000)  2 Te 2.84, 4 Sb 2.85
Sb (0.0000, 0.5000, 0.0000)  2 Tl 2.85
Sb (0.5000, 0.0000, 0.0000)  2 Tl 2.85
Te (0.0000, 0.0000, 0.5000)  2 Tl 2.84
N (0.5000, 0.5000, 0.5000)  8 Sb 4.02, 4 Te 4.04

***

Compound: TlSbTe2N
Source: Alexandria
Functional: PBE-GGA
Structure: relaxed

* formation energy without anion corrections: 3.0 eV/f.u.
* energy: -3.626 eV per atom
* DOS at the Fermi energy: 4.9 states/eV/f.u.
* ΔE to the lowest computed polymorph: 11 meV per atom

abc: 6.1107 6.1107 3.9173
angles: 90.00 90.00 90.00
Last column: nearest neighbours and their distance in Å.
Sites, in units of the cell vectors:
Tl (0.0000, 0.0000, 0.0000)  8 Te 3.63, 2 Tl 3.92
Sb (0.5000, 0.5000, 0.5000)  2 N 1.96
Te (0.0000, 0.5000, 0.5000)  2 Sb 3.06
Te (0.5000, 0.0000, 0.5000)  2 Sb 3.06
N (0.5000, 0.5000, 0.0000)  2 Sb 1.96

***

Compound: TlSb2TeN
Source: Alexandria
Functional: PBE-GGA
Structure: relaxed

* formation energy without anion corrections: 2.9 eV/f.u.
* energy: -3.838 eV per atom
* DOS at the Fermi energy: 3.3 states/eV/f.u.
* ΔE to the lowest computed polymorph: 0 meV per atom

abc: 4.8491 4.8491 5.1109
angles: 90.00 90.00 90.00
Last column: nearest neighbours and their distance in Å.
Sites, in units of the cell vectors:
Tl (0.0000, 0.0000, 0.0000)  4 Te 3.43, 8 Sb 3.52
Sb (0.0000, 0.5000, 0.5000)  2 N 2.42
Sb (0.5000, 0.0000, 0.5000)  2 N 2.42
Te (0.5000, 0.5000, 0.0000)  2 N 2.56
N (0.5000, 0.5000, 0.5000)  4 Sb 2.42, 2 Te 2.56

***

Compound: TlSbTe2N
Source: Alexandria
Functional: PBE-GGA
Structure: relaxed

* formation energy without anion corrections: 2.9 eV/f.u.
* energy: -3.637 eV per atom
* DOS at the Fermi energy: 4.0 states/eV/f.u.
* ΔE to the lowest computed polymorph: 0 meV per atom

abc: 5.0817 5.0817 4.7503
angles: 90.00 90.00 90.00
Last column: nearest neighbours and their distance in Å.
Sites, in units of the cell vectors:
Tl (0.0000, 0.0000, 0.0000)  8 Te 3.48, 4 Sb 3.59
Sb (0.5000, 0.5000, 0.0000)  2 N 2.38
Te (0.0000, 0.5000, 0.5000)  2 N 2.54
Te (0.5000, 0.0000, 0.5000)  2 N 2.54
N (0.5000, 0.5000, 0.5000)  2 Sb 2.38, 4 Te 2.54

***

Compound: USbTe2N
Source: Alexandria
Functional: PBE-GGA
Structure: relaxed

* formation energy without anion corrections: -3.4 eV/f.u.
* energy: -6.675 eV per atom
* DOS at the Fermi energy: 4.9 states/eV/f.u.

abc: 3.8701 3.8701 19.7957
angles: 90.00 90.00 90.00
Last column: nearest neighbours and their distance in Å.
Sites, in units of the cell vectors:
U (0.2500, 0.2500, 0.0584)  4 N 2.25
U (0.7500, 0.7500, 0.9416)  4 N 2.25
Sb (0.2500, 0.2500, 0.6594)  4 Te 3.02
Sb (0.7500, 0.7500, 0.3406)  4 Te 3.02
Te (0.2500, 0.2500, 0.4055)  4 Sb 3.02
Te (0.2500, 0.2500, 0.8535)  4 U 3.25, 4 N 3.49
Te (0.7500, 0.7500, 0.1465)  4 U 3.25, 4 N 3.49
Te (0.7500, 0.7500, 0.5945)  4 Sb 3.02
N (0.2500, 0.7500, 0.0000)  4 U 2.25
N (0.7500, 0.2500, 0.0000)  4 U 2.25

***

Compound: VSb2TeN
Source: Alexandria
Functional: PBE-GGA
Structure: relaxed

* formation energy without anion corrections: 6.6 eV/f.u.
* energy: -4.442 eV per atom
* DOS at the Fermi energy: 10.1 states/eV/f.u.
* ΔE to the lowest computed polymorph: 458 meV per atom

abc: 5.0229 5.0229 4.9675
angles: 90.00 90.00 90.00
Last column: nearest neighbours and their distance in Å.
Sites, in units of the cell vectors:
V (0.0000, 0.0000, 0.0000)  2 Te 2.48, 4 Sb 2.51
Sb (0.0000, 0.5000, 0.0000)  2 V 2.51
Sb (0.5000, 0.0000, 0.0000)  2 V 2.51
Te (0.0000, 0.0000, 0.5000)  2 V 2.48
N (0.5000, 0.5000, 0.5000)  8 Sb 3.53, 4 Te 3.55

***

Compound: VSb2TeN
Source: Alexandria
Functional: PBE-GGA
Structure: relaxed

* formation energy without anion corrections: 4.3 eV/f.u.
* energy: -4.900 eV per atom
* DOS at the Fermi energy: 6.7 states/eV/f.u.
* ΔE to the lowest computed polymorph: 0 meV per atom

abc: 4.6816 4.6816 4.5788
angles: 90.00 90.00 90.00
Last column: nearest neighbours and their distance in Å.
Sites, in units of the cell vectors:
V (0.0000, 0.0000, 0.0000)  8 Sb 3.27, 4 Te 3.31
Sb (0.0000, 0.5000, 0.5000)  2 N 2.34
Sb (0.5000, 0.0000, 0.5000)  2 N 2.34
Te (0.5000, 0.5000, 0.0000)  2 N 2.29
N (0.5000, 0.5000, 0.5000)  2 Te 2.29, 4 Sb 2.34

***

Compound: SbTeWN2
Source: Alexandria
Functional: PBE-GGA
Structure: relaxed

* formation energy without anion corrections: 3.3 eV/f.u.
* energy: -6.705 eV per atom
* DOS at the Fermi energy: 3.4 states/eV/f.u.
* ΔE to the lowest computed polymorph: 0 meV per atom

abc: 4.0724 4.0724 5.6687
angles: 90.00 90.00 90.00
Last column: nearest neighbours and their distance in Å.
Sites, in units of the cell vectors:
Sb (0.0000, 0.0000, 0.0000)  4 Te 2.88
Te (0.5000, 0.5000, 0.0000)  2 W 2.83, 4 Sb 2.88
W (0.5000, 0.5000, 0.5000)  4 N 2.04
N (0.0000, 0.5000, 0.5000)  2 W 2.04
N (0.5000, 0.0000, 0.5000)  2 W 2.04

***

Compound: SbTeWN2
Source: Alexandria
Functional: PBE-GGA
Structure: relaxed

* formation energy without anion corrections: 9.6 eV/f.u.
* energy: -5.445 eV per atom
* DOS at the Fermi energy: 2.6 states/eV/f.u.
* ΔE to the lowest computed polymorph: 1260 meV per atom

abc: 4.0059 4.0059 7.1796
angles: 90.00 90.00 90.00
Last column: nearest neighbours and their distance in Å.
Sites, in units of the cell vectors:
Sb (0.0000, 0.0000, 0.0000)  4 N 2.00
Te (0.0000, 0.0000, 0.5000)  4 W 2.83
W (0.5000, 0.5000, 0.5000)  4 Te 2.83
N (0.0000, 0.5000, 0.0000)  2 Sb 2.00
N (0.5000, 0.0000, 0.0000)  2 Sb 2.00

***

Compound: SbTe2WN
Source: Alexandria
Functional: PBE-GGA
Structure: relaxed

* formation energy without anion corrections: 7.5 eV/f.u.
* energy: -4.830 eV per atom
* DOS at the Fermi energy: 4.9 states/eV/f.u.
* ΔE to the lowest computed polymorph: 1214 meV per atom

abc: 5.3082 5.3082 5.3256
angles: 90.00 90.00 90.00
Last column: nearest neighbours and their distance in Å.
Sites, in units of the cell vectors:
Sb (0.0000, 0.0000, 0.0000)  2 W 2.66
Te (0.0000, 0.5000, 0.5000)  2 W 2.65
Te (0.5000, 0.0000, 0.5000)  2 W 2.65
W (0.0000, 0.0000, 0.5000)  4 Te 2.65, 2 Sb 2.66
N (0.5000, 0.5000, 0.0000)  4 Sb 3.75, 8 Te 3.76

***

Compound: SbTe2WN
Source: Alexandria
Functional: PBE-GGA
Structure: relaxed

* formation energy without anion corrections: 6.0 eV/f.u.
* energy: -5.134 eV per atom
* DOS at the Fermi energy: 3.6 states/eV/f.u.
* ΔE to the lowest computed polymorph: 910 meV per atom

abc: 4.6843 4.6843 4.6046
angles: 90.00 90.00 90.00
Last column: nearest neighbours and their distance in Å.
Sites, in units of the cell vectors:
Sb (0.0000, 0.0000, 0.0000)  2 N 2.30
Te (0.0000, 0.5000, 0.5000)  2 N 2.34
Te (0.5000, 0.0000, 0.5000)  2 N 2.34
W (0.5000, 0.5000, 0.0000)  8 Te 3.28, 4 Sb 3.31
N (0.0000, 0.0000, 0.5000)  2 Sb 2.30, 4 Te 2.34

***

Compound: SbTe2WN
Source: Alexandria
Functional: PBE-GGA
Structure: relaxed

* formation energy without anion corrections: 1.5 eV/f.u.
* energy: -6.044 eV per atom
* DOS at the Fermi energy: 3.7 states/eV/f.u.
* ΔE to the lowest computed polymorph: 0 meV per atom

abc: 5.5053 5.5053 3.8363
angles: 90.00 90.00 90.00
Last column: nearest neighbours and their distance in Å.
Sites, in units of the cell vectors:
Sb (0.0000, 0.0000, 0.0000)  8 Te 3.36
Te (0.0000, 0.5000, 0.5000)  2 W 2.75
Te (0.5000, 0.0000, 0.5000)  2 W 2.75
W (0.5000, 0.5000, 0.5000)  2 N 1.92
N (0.5000, 0.5000, 0.0000)  2 W 1.92

***

Compound: SbTe2WN
Source: Alexandria
Functional: PBE-GGA
Structure: relaxed

* formation energy without anion corrections: 8.1 eV/f.u.
* energy: -4.708 eV per atom
* DOS at the Fermi energy: 3.1 states/eV/f.u.
* ΔE to the lowest computed polymorph: 1336 meV per atom

abc: 5.7101 5.7101 3.8735
angles: 90.00 90.00 90.00
Last column: nearest neighbours and their distance in Å.
Sites, in units of the cell vectors:
Sb (0.0000, 0.0000, 0.0000)  2 N 1.94
Te (0.0000, 0.5000, 0.0000)  2 Sb 2.86
Te (0.5000, 0.0000, 0.0000)  2 Sb 2.86
W (0.5000, 0.5000, 0.5000)  8 Te 3.45
N (0.0000, 0.0000, 0.5000)  2 Sb 1.94

***

Compound: SbTe2WN
Source: Alexandria
Functional: PBE-GGA
Structure: relaxed

* formation energy without anion corrections: 3.8 eV/f.u.
* energy: -5.584 eV per atom
* DOS at the Fermi energy: 2.4 states/eV/f.u.
* ΔE to the lowest computed polymorph: 460 meV per atom

abc: 5.3088 5.3088 3.8806
angles: 90.00 90.00 90.00
Last column: nearest neighbours and their distance in Å.
Sites, in units of the cell vectors:
Sb (0.0000, 0.0000, 0.0000)  8 Te 3.29
Te (0.0000, 0.5000, 0.5000)  2 N 2.65
Te (0.5000, 0.0000, 0.5000)  2 N 2.65
W (0.5000, 0.5000, 0.0000)  2 N 1.94
N (0.5000, 0.5000, 0.5000)  2 W 1.94